No. 1
A relaxed SbAsSI2 crystal. Source: Alexandria via LeMat-Bulk, functional PBEsol.

- ΔE_f (raw) (eV/atom) = 0.7334

Cell lengths 5.189, 5.189, 5.428 Å; angles 90.00, 90.00, 90.00 degrees
Sites, in units of the cell vectors:
S: 0.000 0.000 0.000
I: 0.000 0.500 0.000
I: 0.500 0.000 0.000
As: 0.500 0.500 0.500
Sb: 0.000 0.000 0.500

---

No. 2
A relaxed Sr2TaTl crystal. Source: Alexandria via LeMat-Bulk, functional PBEsol.

- DFT formation energy (kJ/mol of atoms) = 60
- energy above the most stable polymorph in this dataset (eV/atom) = 0.102

Cell lengths 3.334, 5.093, 6.541 Å; angles 90.00, 90.00, 90.00 degrees
Last column: magnetic moment on the atom in μB.
Sites, in units of the cell vectors:
Ta: 0.500 0.500 0.000  0.48
Sr: 0.000 0.000 0.754  0.01
Sr: 0.000 0.000 0.246  0.01
Tl: 0.500 0.500 0.500  -0.02

---

No. 3
A relaxed CaMo2Ru crystal. Source: Alexandria via LeMat-Bulk, functional PBEsol.

- DFT formation energy (kJ/mol of atoms) = 56

Cell lengths 4.505, 4.505, 4.505 Å; angles 60.00, 60.00, 60.00 degrees
Sites, in units of the cell vectors:
Ca: 0.500 0.500 0.500
Ru: 0.250 0.250 0.250
Mo: 0.000 0.000 0.000
Mo: 0.750 0.750 0.750

---

No. 4
A relaxed ScTePb2 crystal. Source: Alexandria via LeMat-Bulk, functional PBEsol.

- ΔE_f (raw) (eV/atom) = -0.2280

Cell lengths 4.512, 4.512, 6.111 Å; angles 111.67, 111.67, 90.00 degrees
Sites, in units of the cell vectors:
Sc: 0.500 0.500 0.000
Pb: 0.000 0.000 0.000
Pb: 0.750 0.250 0.500
Te: 0.250 0.750 0.500

---

No. 5
A relaxed Ta2TcAs crystal. Source: Alexandria via LeMat-Bulk, functional PBEsol.

- DFT formation energy (kJ/mol of atoms) = -15

Cell lengths 3.158, 4.568, 4.568 Å; angles 104.71, 90.00, 90.00 degrees
Sites, in units of the cell vectors:
As: 0.500 0.500 0.500
Ta: 0.000 0.000 0.500
Tc: 0.500 0.000 0.000
Ta: 0.000 0.500 0.000

---

No. 6
A relaxed LaSbPb2 crystal. Source: Alexandria via LeMat-Bulk, functional PBEsol.

- ΔE_f (raw) (eV/atom) = -0.4729

Cell lengths 4.201, 4.205, 6.620 Å; angles 90.04, 90.00, 90.00 degrees
Sites, in units of the cell vectors:
Sb: 0.000 0.000 0.509
La: 0.500 0.500 0.734
Pb: 0.500 0.500 0.244
Pb: 0.000 0.000 0.013

---

No. 7
A relaxed ReSeBr2 crystal. Source: Alexandria via LeMat-Bulk, functional PBEsol.

- energy above the most stable polymorph in this dataset (eV/atom) = 1.037
- ΔE_f (raw) (eV/atom) = 1.2973

Cell lengths 4.675, 4.675, 4.675 Å; angles 60.00, 60.00, 60.00 degrees
Sites, in units of the cell vectors:
Re: 0.000 0.000 0.000
Br: 0.250 0.250 0.250
Se: 0.500 0.500 0.500
Br: 0.750 0.750 0.750

---

No. 8
A relaxed SrHgOs2 crystal. Source: Alexandria via LeMat-Bulk, functional PBEsol.

- DFT formation energy (kJ/mol of atoms) = 34

Cell lengths 4.130, 4.130, 6.777 Å; angles 72.26, 72.26, 60.00 degrees
Sites, in units of the cell vectors:
Os: 0.287 0.287 0.140
Sr: 0.507 0.507 0.479
Hg: 0.724 0.724 0.829
Os: 0.975 0.975 0.075

---

No. 9
A relaxed K2CuW crystal. Source: Alexandria via LeMat-Bulk, functional PBEsol.

- DFT formation energy (kJ/mol of atoms) = 125

Cell lengths 2.663, 6.147, 7.177 Å; angles 115.36, 100.69, 90.00 degrees
Sites, in units of the cell vectors:
W: 0.443 0.443 0.887
Cu: 0.777 0.277 0.554
K: 0.039 0.039 0.078
K: 0.240 0.740 0.481

---

No. 10
A relaxed Cs2RbHg2 crystal. Source: Alexandria via LeMat-Bulk, functional PBEsol.

- DFT formation energy (kJ/mol of atoms) = -7
- energy above the most stable polymorph in this dataset (eV/atom) = 0.033

Cell lengths 4.280, 10.564, 10.564 Å; angles 90.00, 90.00, 90.00 degrees
Sites, in units of the cell vectors:
Cs: 0.000 0.637 0.137
Hg: 0.500 0.657 0.843
Rb: 0.000 0.000 0.000
Rb: 0.000 0.500 0.500
Hg: 0.500 0.843 0.343
Hg: 0.500 0.157 0.657
Hg: 0.500 0.343 0.157
Cs: 0.000 0.137 0.363
Cs: 0.000 0.863 0.637
Cs: 0.000 0.363 0.863

---

No. 11
A relaxed GaCuSnC2 crystal. Source: Alexandria via LeMat-Bulk, functional PBEsol.

- DFT formation energy (kJ/mol of atoms) = 178

Cell lengths 3.936, 3.936, 4.784 Å; angles 90.00, 90.00, 90.00 degrees
Sites, in units of the cell vectors:
Cu: 0.000 0.000 0.500
C: 0.000 0.500 0.000
C: 0.500 0.000 0.000
Sn: 0.500 0.500 0.500
Ga: 0.000 0.000 0.000

---

No. 12
A relaxed CaGa3Re crystal. Source: Alexandria via LeMat-Bulk, functional PBEsol.

- DFT formation energy (kJ/mol of atoms) = 191

Cell lengths 5.070, 5.070, 5.070 Å; angles 90.00, 90.00, 90.00 degrees
Last column: magnetic moment on the atom in μB.
Sites, in units of the cell vectors:
Ga: 0.000 0.500 0.000  0.04
Ca: 0.000 0.000 0.000  0.04
Ga: 0.500 0.000 0.000  0.04
Ga: 0.000 0.000 0.500  0.04
Re: 0.500 0.500 0.500  -3.24

---

| no. | magnetic moment (μB per formula unit) | density (g cm⁻³) | DFT total energy (eV/atom) |
| --- | --- | --- | --- |
| 1 | 0.0 | 5.48 | -2.783 |
| 2 | 0.8 | 8.38 | -4.094 |
| 3 | 0.0 | 8.55 | -8.382 |
| 4 | 0.0 | 9.19 | -4.760 |
| 5 | 0.0 | 13.93 | -10.528 |
| 6 | 0.0 | 9.59 | -4.948 |
| 7 | 0.0 | 9.77 | -3.933 |
| 8 | 0.0 | 11.85 | -6.359 |
| 9 | 0.0 | 5.20 | -3.810 |
| 10 | 0.0 | 5.23 | -0.881 |
| 11 | 0.0 | 6.18 | -4.395 |
| 12 | 3.5 | 5.55 | -3.118 |